VASP calculation (PBEsol) on a relaxed Ca7Sn6 crystal.

Lattice parameters (Å, degrees): 7.816 23.473 8.338 90.00 90.00 90.00
Sites, in units of the cell vectors:
Ca 0.004 0.163 0.175
Ca 0.004 0.337 0.175
Ca 0.166 0.750 0.495
Ca 0.171 0.022 0.326
Ca 0.171 0.148 0.679
Ca 0.171 0.352 0.679
Ca 0.171 0.478 0.326
Ca 0.329 0.522 0.826
Ca 0.329 0.648 0.179
Ca 0.329 0.852 0.179
Ca 0.329 0.978 0.826
Ca 0.334 0.250 0.995
Ca 0.496 0.663 0.675
Ca 0.496 0.837 0.675
Ca 0.504 0.163 0.325
Ca 0.504 0.337 0.325
Ca 0.666 0.750 0.005
Ca 0.671 0.022 0.174
Ca 0.671 0.148 0.821
Ca 0.671 0.352 0.821
Ca 0.671 0.478 0.174
Ca 0.829 0.522 0.674
Ca 0.829 0.648 0.321
Ca 0.829 0.852 0.321
Ca 0.829 0.978 0.674
Ca 0.834 0.250 0.505
Ca 0.996 0.663 0.825
Ca 0.996 0.837 0.825
Sn 0.000 0.058 0.942
Sn 0.000 0.442 0.942
Sn 0.000 0.558 0.058
Sn 0.000 0.942 0.058
Sn 0.042 0.750 0.136
Sn 0.159 0.599 0.524
Sn 0.159 0.901 0.524
Sn 0.207 0.250 0.387
Sn 0.293 0.750 0.887
Sn 0.341 0.099 0.024
Sn 0.341 0.401 0.024
Sn 0.458 0.250 0.636
Sn 0.500 0.058 0.558
Sn 0.500 0.442 0.558
Sn 0.500 0.558 0.442
Sn 0.500 0.942 0.442
Sn 0.542 0.750 0.364
Sn 0.659 0.599 0.976
Sn 0.659 0.901 0.976
Sn 0.707 0.250 0.113
Sn 0.793 0.750 0.613
Sn 0.841 0.099 0.476
Sn 0.841 0.401 0.476
Sn 0.958 0.250 0.864

Computed properties:
For the electronic total energy, the calculation gives -3.80 eV per atom. The magnetization comes out at 0.000 Bohr magnetons per cell. The density of states at the Fermi level is 0.6763 states/eV per atom.